# 1
# PmSm2HoTe5 PBE relaxed
# Theoretical density = 5802 kg/m3
# Calculated volume = 357.3 Å³/cell
# E_form (uncorrected) = -0.7813 eV per atom
# N(E_F) = 0.519 states/eV per atom
data_PmSm2HoTe5
_chemical_formula_sum 'Pm1 Sm2 Ho1 Te5'
_symmetry_space_group_name_H-M 'P 4/m m m'
_symmetry_Int_Tables_number 123
_symmetry_space_group_name_Hall '-P 4 2'
_cell_length_a 5.516
_cell_length_b 5.516
_cell_length_c 11.746
_cell_angle_alpha 90.00
_cell_angle_beta 90.00
_cell_angle_gamma 90.00
loop_
_atom_site_label
_atom_site_type_symbol
_atom_site_fract_x
_atom_site_fract_y
_atom_site_fract_z
Pm1 Pm 0.000 0.000 0.000
Sm1 Sm 0.500 0.500 0.346
Ho1 Ho 0.000 0.000 0.500
Te1 Te 0.000 0.000 0.249
Te2 Te 0.000 0.500 0.500
Te3 Te 0.500 0.500 0.000

# 2
# PmSmHo2Te6 PBE relaxed
# Theoretical density = 6248 kg/m3
# Calculated volume = 1108.9 Å³/cell
# E_form (uncorrected) = -1.3654 eV per atom
data_PmSmHo2Te6
_chemical_formula_sum 'Pm3 Sm3 Ho6 Te18'
_symmetry_space_group_name_H-M 'R 3'
_symmetry_Int_Tables_number 146
_symmetry_space_group_name_Hall 'R 3'
_cell_length_a 7.7769
_cell_length_b 7.7769
_cell_length_c 21.1713
_cell_angle_alpha 90.00
_cell_angle_beta 90.00
_cell_angle_gamma 120.00
loop_
_atom_site_label
_atom_site_type_symbol
_atom_site_fract_x
_atom_site_fract_y
_atom_site_fract_z
Pm1 Pm 0.0000 0.0000 0.0000
Sm1 Sm 0.0000 0.0000 0.5007
Ho1 Ho 0.0000 0.0000 0.1882
Ho2 Ho 0.0000 0.0000 0.6887
Te1 Te 0.0279 0.3482 0.7643
Te2 Te 0.0303 0.6821 0.2643

# 3
# Pm2SmHoTe6 PBE relaxed
# Theoretical density = 6023 kg/m3
# Calculated volume = 1133.9 Å³/cell
# E_form (uncorrected) = -1.3728 eV per atom
data_Pm2SmHoTe6
_chemical_formula_sum 'Pm6 Sm3 Ho3 Te18'
_symmetry_space_group_name_H-M 'R 3'
_symmetry_Int_Tables_number 146
_symmetry_space_group_name_Hall 'R 3'
_cell_length_a 7.8350
_cell_length_b 7.8350
_cell_length_c 21.3286
_cell_angle_alpha 90.00
_cell_angle_beta 90.00
_cell_angle_gamma 120.00
loop_
_atom_site_label
_atom_site_type_symbol
_atom_site_fract_x
_atom_site_fract_y
_atom_site_fract_z
Pm1 Pm 0.0000 0.0000 0.0000
Pm2 Pm 0.0000 0.0000 0.4989
Sm1 Sm 0.0000 0.0000 0.1891
Ho1 Ho 0.0000 0.0000 0.6878
Te1 Te 0.0259 0.3470 0.7620
Te2 Te 0.0289 0.6728 0.2633

# 4
# Pm3Sm2HoTe6 PBE relaxed
# Theoretical density = 7464 kg/m3
# Calculated volume = 741.4 Å³/cell
# E_form (uncorrected) = -1.3740 eV per atom
# N(E_F) = 0.548 states/eV per atom
data_Pm3Sm2HoTe6
_chemical_formula_sum 'Pm6 Sm4 Ho2 Te12'
_symmetry_space_group_name_H-M 'C 1 2/m 1'
_symmetry_Int_Tables_number 12
_symmetry_space_group_name_Hall '-C 2y'
_cell_length_a 19.338
_cell_length_b 4.410
_cell_length_c 8.929
_cell_angle_alpha 90.00
_cell_angle_beta 103.20
_cell_angle_gamma 90.00
loop_
_atom_site_label
_atom_site_type_symbol
_atom_site_fract_x
_atom_site_fract_y
_atom_site_fract_z
Pm1 Pm 0.000 0.000 0.000
Pm2 Pm 0.170 0.500 0.334
Sm1 Sm 0.169 0.500 0.836
Ho1 Ho 0.000 0.000 0.500
Te1 Te 0.000 0.500 0.258
Te2 Te 0.162 0.000 0.582
Te3 Te 0.166 0.000 0.082

# 5
# Pm2SmHo3Te6 PBE relaxed
# Theoretical density = 7830 kg/m3
# Calculated volume = 721.4 Å³/cell
# E_form (uncorrected) = -1.3264 eV per atom
# N(E_F) = 0.502 states/eV per atom
data_Pm2SmHo3Te6
_chemical_formula_sum 'Pm4 Sm2 Ho6 Te12'
_symmetry_space_group_name_H-M 'C 1 2/m 1'
_symmetry_Int_Tables_number 12
_symmetry_space_group_name_Hall '-C 2y'
_cell_length_a 19.256
_cell_length_b 4.357
_cell_length_c 8.881
_cell_angle_alpha 90.00
_cell_angle_beta 104.49
_cell_angle_gamma 90.00
loop_
_atom_site_label
_atom_site_type_symbol
_atom_site_fract_x
_atom_site_fract_y
_atom_site_fract_z
Pm1 Pm 0.167 0.000 0.334
Sm1 Sm 0.000 0.500 0.000
Ho1 Ho 0.000 0.500 0.500
Ho2 Ho 0.167 0.000 0.833
Te1 Te 0.003 0.000 0.745
Te2 Te 0.164 0.500 0.589
Te3 Te 0.168 0.500 0.076

# 6
# PmSm2HoTe6 PBE relaxed
# Theoretical density = 6066 kg/m3
# Calculated volume = 1130.3 Å³/cell
# E_form (uncorrected) = -1.3714 eV per atom
data_PmSm2HoTe6
_chemical_formula_sum 'Pm3 Sm6 Ho3 Te18'
_symmetry_space_group_name_H-M 'R 3'
_symmetry_Int_Tables_number 146
_symmetry_space_group_name_Hall 'R 3'
_cell_length_a 7.8224
_cell_length_b 7.8224
_cell_length_c 21.3287
_cell_angle_alpha 90.00
_cell_angle_beta 90.00
_cell_angle_gamma 120.00
loop_
_atom_site_label
_atom_site_type_symbol
_atom_site_fract_x
_atom_site_fract_y
_atom_site_fract_z
Pm1 Pm 0.0000 0.0000 0.0000
Sm1 Sm 0.0000 0.0000 0.3099
Sm2 Sm 0.0000 0.0000 0.8113
Ho1 Ho 0.0000 0.0000 0.4983
Te1 Te 0.0232 0.3475 0.5719
Te2 Te 0.0266 0.6679 0.0734

# 7
# PmSm3Ho2Te6 PBE relaxed
# Theoretical density = 7707 kg/m3
# Calculated volume = 729.0 Å³/cell
# E_form (uncorrected) = -1.3430 eV per atom
# N(E_F) = 0.552 states/eV per atom
data_PmSm3Ho2Te6
_chemical_formula_sum 'Pm2 Sm6 Ho4 Te12'
_symmetry_space_group_name_H-M 'C 1 2/m 1'
_symmetry_Int_Tables_number 12
_symmetry_space_group_name_Hall '-C 2y'
_cell_length_a 19.244
_cell_length_b 4.384
_cell_length_c 8.880
_cell_angle_alpha 90.00
_cell_angle_beta 103.35
_cell_angle_gamma 90.00
loop_
_atom_site_label
_atom_site_type_symbol
_atom_site_fract_x
_atom_site_fract_y
_atom_site_fract_z
Pm1 Pm 0.000 0.000 0.000
Sm1 Sm 0.000 0.000 0.500
Sm2 Sm 0.162 0.500 0.833
Ho1 Ho 0.165 0.500 0.330
Te1 Te 0.004 0.500 0.253
Te2 Te 0.169 0.000 0.091
Te3 Te 0.170 0.000 0.578

# 8
# Pm2Sm5HoTh PBE relaxed
# Theoretical density = 7757 kg/m3
# Calculated volume = 1231.9 Å³/cell
# N(E_F) = 1.515 states/eV per atom
# Energy of formation = 151 meV/atom
data_Pm2Sm5HoTh
_chemical_formula_sum 'Pm8 Sm20 Ho4 Th4'
_symmetry_space_group_name_H-M 'C m c 21'
_symmetry_Int_Tables_number 36
_symmetry_space_group_name_Hall 'C 2c -2'
_cell_length_a 5.684
_cell_length_b 20.528
_cell_length_c 10.559
_cell_angle_alpha 90.00
_cell_angle_beta 90.00
_cell_angle_gamma 90.00
loop_
_atom_site_label
_atom_site_type_symbol
_atom_site_fract_x
_atom_site_fract_y
_atom_site_fract_z
Pm1 Pm 0.000 0.115 0.000
Pm2 Pm 0.000 0.115 0.418
Sm1 Sm 0.000 0.015 0.703
Sm2 Sm 0.000 0.275 0.999
Sm3 Sm 0.000 0.295 0.390
Sm4 Sm 0.000 0.386 0.710
Sm5 Sm 0.000 0.481 0.428
Ho1 Ho 0.000 0.406 0.142
Th1 Th 0.000 0.198 0.697

# 9
# Pm3SmHoTh PBE relaxed
# Theoretical density = 8128 kg/m3
# Calculated volume = 401.4 Å³/cell
# N(E_F) = 1.482 states/eV per atom
# Energy of formation = 31 meV/atom
data_Pm3SmHoTh
_chemical_formula_sum 'Pm6 Sm2 Ho2 Th2'
_symmetry_space_group_name_H-M 'P 1 21/m 1'
_symmetry_Int_Tables_number 11
_symmetry_space_group_name_Hall '-P 2yb'
_cell_length_a 8.088
_cell_length_b 5.115
_cell_length_c 10.226
_cell_angle_alpha 90.00
_cell_angle_beta 108.41
_cell_angle_gamma 90.00
loop_
_atom_site_label
_atom_site_type_symbol
_atom_site_fract_x
_atom_site_fract_y
_atom_site_fract_z
Pm1 Pm 0.172 0.250 0.044
Pm2 Pm 0.178 0.250 0.545
Pm3 Pm 0.178 0.750 0.294
Sm1 Sm 0.171 0.750 0.792
Ho1 Ho 0.499 0.250 0.872
Th1 Th 0.500 0.250 0.378

# 10
# PmSmHoTh PBE relaxed
# Theoretical density = 8715 kg/m3
# Calculated volume = 527.7 Å³/cell
# N(E_F) = 2.103 states/eV per atom
# Energy of formation = 172 meV/atom
# Energy relative to the lowest polymorph listed for this composition = 146 meV/atom
data_PmSmHoTh
_chemical_formula_sum 'Pm4 Sm4 Ho4 Th4'
_symmetry_space_group_name_H-M 'F -4 3 m'
_symmetry_Int_Tables_number 216
_symmetry_space_group_name_Hall 'F -4 2 3'
_cell_length_a 8.081
_cell_length_b 8.081
_cell_length_c 8.081
_cell_angle_alpha 90.00
_cell_angle_beta 90.00
_cell_angle_gamma 90.00
loop_
_atom_site_label
_atom_site_type_symbol
_atom_site_fract_x
_atom_site_fract_y
_atom_site_fract_z
Pm1 Pm 0.000 0.000 0.000
Sm1 Sm 0.250 0.250 0.750
Ho1 Ho 0.000 0.000 0.500
Th1 Th 0.250 0.250 0.250

# 11
# PmSmHo3Th PBE relaxed
# Theoretical density = 8686 kg/m3
# Calculated volume = 781.7 Å³/cell
# N(E_F) = 1.422 states/eV per atom
# Energy of formation = 216 meV/atom
data_PmSmHo3Th
_chemical_formula_sum 'Pm4 Sm4 Ho12 Th4'
_symmetry_space_group_name_H-M 'C 1 2/m 1'
_symmetry_Int_Tables_number 12
_symmetry_space_group_name_Hall '-C 2y'
_cell_length_a 19.797
_cell_length_b 5.620
_cell_length_c 7.026
_cell_angle_alpha 90.00
_cell_angle_beta 90.29
_cell_angle_gamma 90.00
loop_
_atom_site_label
_atom_site_type_symbol
_atom_site_fract_x
_atom_site_fract_y
_atom_site_fract_z
Pm1 Pm 0.147 0.000 0.460
Sm1 Sm 0.148 0.000 0.037
Ho1 Ho 0.023 0.000 0.752
Ho2 Ho 0.158 0.500 0.753
Ho3 Ho 0.221 0.500 0.253
Th1 Th 0.055 0.500 0.242

# 12
# Pm2SmHo4Th PBE relaxed
# Theoretical density = 8557 kg/m3
# Calculated volume = 258.5 Å³/cell
# N(E_F) = 1.346 states/eV per atom
# Energy of formation = 29 meV/atom
data_Pm2SmHo4Th
_chemical_formula_sum 'Pm2 Sm1 Ho4 Th1'
_symmetry_space_group_name_H-M 'P m m m'
_symmetry_Int_Tables_number 47
_symmetry_space_group_name_Hall '-P 2 2'
_cell_length_a 5.079
_cell_length_b 5.097
_cell_length_c 9.985
_cell_angle_alpha 90.00
_cell_angle_beta 90.00
_cell_angle_gamma 90.00
loop_
_atom_site_label
_atom_site_type_symbol
_atom_site_fract_x
_atom_site_fract_y
_atom_site_fract_z
Pm1 Pm 0.000 0.000 0.000
Pm2 Pm 0.500 0.500 0.500
Sm1 Sm 0.000 0.000 0.500
Ho1 Ho 0.000 0.500 0.246
Ho2 Ho 0.500 0.000 0.246
Th1 Th 0.500 0.500 0.000

# 13
# Pm2SmHo5Th PBE relaxed
# Theoretical density = 8245 kg/m3
# Calculated volume = 1206.1 Å³/cell
# N(E_F) = 1.421 states/eV per atom
# Energy of formation = 163 meV/atom
data_Pm2SmHo5Th
_chemical_formula_sum 'Pm8 Sm4 Ho20 Th4'
_symmetry_space_group_name_H-M 'C m c 21'
_symmetry_Int_Tables_number 36
_symmetry_space_group_name_Hall 'C 2c -2'
_cell_length_a 5.721
_cell_length_b 21.476
_cell_length_c 9.817
_cell_angle_alpha 90.00
_cell_angle_beta 90.00
_cell_angle_gamma 90.00
loop_
_atom_site_label
_atom_site_type_symbol
_atom_site_fract_x
_atom_site_fract_y
_atom_site_fract_z
Pm1 Pm 0.000 0.115 0.000
Pm2 Pm 0.000 0.129 0.383
Sm1 Sm 0.000 0.192 0.688
Ho1 Ho 0.000 0.014 0.688
Ho2 Ho 0.000 0.272 0.997
Ho3 Ho 0.000 0.306 0.386
Ho4 Ho 0.000 0.399 0.711
Ho5 Ho 0.000 0.470 0.411
Th1 Th 0.000 0.407 0.095

# 14
# PmSmHo5Th2 PBE relaxed
# Theoretical density = 8812 kg/m3
# Calculated volume = 1194.1 Å³/cell
# N(E_F) = 1.413 states/eV per atom
# Energy of formation = 328 meV/atom
data_PmSmHo5Th2
_chemical_formula_sum 'Pm4 Sm4 Ho20 Th8'
_symmetry_space_group_name_H-M 'I 4/m c m'
_symmetry_Int_Tables_number 140
_symmetry_space_group_name_Hall '-I 4 2c'
_cell_length_a 8.848
_cell_length_b 8.848
_cell_length_c 15.253
_cell_angle_alpha 90.00
_cell_angle_beta 90.00
_cell_angle_gamma 90.00
loop_
_atom_site_label
_atom_site_type_symbol
_atom_site_fract_x
_atom_site_fract_y
_atom_site_fract_z
Pm1 Pm 0.000 0.000 0.250
Sm1 Sm 0.000 0.500 0.250
Ho1 Ho 0.000 0.000 0.000
Ho2 Ho 0.207 0.293 0.138
Th1 Th 0.119 0.381 0.500

# 15
# PmSm2Ho5Th PBE relaxed
# Theoretical density = 8582 kg/m3
# Calculated volume = 1162.9 Å³/cell
# N(E_F) = 1.213 states/eV per atom
# Energy of formation = 294 meV/atom
data_PmSm2Ho5Th
_chemical_formula_sum 'Pm4 Sm8 Ho20 Th4'
_symmetry_space_group_name_H-M 'I 4/m c m'
_symmetry_Int_Tables_number 140
_symmetry_space_group_name_Hall '-I 4 2c'
_cell_length_a 8.717
_cell_length_b 8.717
_cell_length_c 15.303
_cell_angle_alpha 90.00
_cell_angle_beta 90.00
_cell_angle_gamma 90.00
loop_
_atom_site_label
_atom_site_type_symbol
_atom_site_fract_x
_atom_site_fract_y
_atom_site_fract_z
Pm1 Pm 0.000 0.500 0.250
Sm1 Sm 0.116 0.384 0.000
Ho1 Ho 0.000 0.000 0.000
Ho2 Ho 0.211 0.289 0.362
Th1 Th 0.000 0.000 0.250

# 16
# PmSm5Ho2Th PBE relaxed
# Theoretical density = 7974 kg/m3
# Calculated volume = 1215.0 Å³/cell
# N(E_F) = 1.506 states/eV per atom
# Energy of formation = 161 meV/atom
data_PmSm5Ho2Th
_chemical_formula_sum 'Pm4 Sm20 Ho8 Th4'
_symmetry_space_group_name_H-M 'C m c 21'
_symmetry_Int_Tables_number 36
_symmetry_space_group_name_Hall 'C 2c -2'
_cell_length_a 5.680
_cell_length_b 20.328
_cell_length_c 10.523
_cell_angle_alpha 90.00
_cell_angle_beta 90.00
_cell_angle_gamma 90.00
loop_
_atom_site_label
_atom_site_type_symbol
_atom_site_fract_x
_atom_site_fract_y
_atom_site_fract_z
Pm1 Pm 0.000 0.090 0.000
Sm1 Sm 0.000 0.022 0.292
Sm2 Sm 0.000 0.111 0.579
Sm3 Sm 0.000 0.205 0.257
Sm4 Sm 0.000 0.223 0.866
Sm5 Sm 0.000 0.484 0.574
Ho1 Ho 0.000 0.384 0.871
Ho2 Ho 0.000 0.387 0.286
Th1 Th 0.000 0.301 0.565

# 17
# Pm6Sm3HoTh2 PBE relaxed
# Theoretical density = 8024 kg/m3
# Calculated volume = 807.1 Å³/cell
# N(E_F) = 1.493 states/eV per atom
# Energy of formation = 32 meV/atom
data_Pm6Sm3HoTh2
_chemical_formula_sum 'Pm12 Sm6 Ho2 Th4'
_symmetry_space_group_name_H-M 'C 1 2/m 1'
_symmetry_Int_Tables_number 12
_symmetry_space_group_name_Hall '-C 2y'
_cell_length_a 6.271
_cell_length_b 10.842
_cell_length_c 12.053
_cell_angle_alpha 90.00
_cell_angle_beta 99.99
_cell_angle_gamma 90.00
loop_
_atom_site_label
_atom_site_type_symbol
_atom_site_fract_x
_atom_site_fract_y
_atom_site_fract_z
Pm1 Pm 0.245 0.000 0.246
Pm2 Pm 0.250 0.168 0.754
Sm1 Sm 0.000 0.000 0.500
Sm2 Sm 0.000 0.333 0.500
Ho1 Ho 0.000 0.500 0.000
Th1 Th 0.000 0.167 0.000

# 18
# PmSmHoTh PBE relaxed
# Theoretical density = 8728 kg/m3
# Calculated volume = 131.7 Å³/cell
# N(E_F) = 1.210 states/eV per atom
# Energy of formation = 26 meV/atom
# Energy relative to the lowest polymorph listed for this composition = 0 meV/atom
data_PmSmHoTh
_chemical_formula_sum 'Pm1 Sm1 Ho1 Th1'
_symmetry_space_group_name_H-M 'P 4 m m'
_symmetry_Int_Tables_number 99
_symmetry_space_group_name_Hall 'P 4 -2'
_cell_length_a 3.595
_cell_length_b 3.595
_cell_length_c 10.194
_cell_angle_alpha 90.00
_cell_angle_beta 90.00
_cell_angle_gamma 90.00
loop_
_atom_site_label
_atom_site_type_symbol
_atom_site_fract_x
_atom_site_fract_y
_atom_site_fract_z
Pm1 Pm 0.000 0.000 0.000
Sm1 Sm 0.500 0.500 0.736
Ho1 Ho 0.500 0.500 0.255
Th1 Th 0.000 0.000 0.493

# 19
# Pm6SmHoTh2 PBE relaxed
# Theoretical density = 8037 kg/m3
# Calculated volume = 1363.1 Å³/cell
# N(E_F) = 1.504 states/eV per atom
# Energy of formation = 153 meV/atom
data_Pm6SmHoTh2
_chemical_formula_sum 'Pm24 Sm4 Ho4 Th8'
_symmetry_space_group_name_H-M 'C 1 2/c 1'
_symmetry_Int_Tables_number 15
_symmetry_space_group_name_Hall '-C 2yc'
_cell_length_a 9.036
_cell_length_b 14.969
_cell_length_c 10.345
_cell_angle_alpha 90.00
_cell_angle_beta 103.06
_cell_angle_gamma 90.00
loop_
_atom_site_label
_atom_site_type_symbol
_atom_site_fract_x
_atom_site_fract_y
_atom_site_fract_z
Pm1 Pm 0.076 0.185 0.450
Pm2 Pm 0.090 0.400 0.617
Pm3 Pm 0.207 0.223 0.825
Sm1 Sm 0.000 0.009 0.750
Ho1 Ho 0.000 0.404 0.250
Th1 Th 0.225 0.044 0.043

# 20
# Pm3SmHo6Th2 PBE relaxed
# Theoretical density = 8775 kg/m3
# Calculated volume = 771.7 Å³/cell
# N(E_F) = 1.298 states/eV per atom
# Energy of formation = 22 meV/atom
data_Pm3SmHo6Th2
_chemical_formula_sum 'Pm6 Sm2 Ho12 Th4'
_symmetry_space_group_name_H-M 'C 1 2/m 1'
_symmetry_Int_Tables_number 12
_symmetry_space_group_name_Hall '-C 2y'
_cell_length_a 6.209
_cell_length_b 10.750
_cell_length_c 11.746
_cell_angle_alpha 90.00
_cell_angle_beta 100.19
_cell_angle_gamma 90.00
loop_
_atom_site_label
_atom_site_type_symbol
_atom_site_fract_x
_atom_site_fract_y
_atom_site_fract_z
Pm1 Pm 0.000 0.000 0.000
Pm2 Pm 0.000 0.334 0.000
Sm1 Sm 0.000 0.500 0.500
Ho1 Ho 0.244 0.000 0.746
Ho2 Ho 0.249 0.169 0.254
Th1 Th 0.000 0.167 0.500